*1*
This record from OQMD via LeMat-Bulk describes an optimized crystal structure of Dy3Zr3FeBi2. The functional is PBE-GGA.

abc: 8.0183 8.0183 4.0991
angles: 90.00 90.00 120.00
Space group P-62m (No. 189)
Unique sites:
Dy 0.0000 0.3912 0.0000
Zr 0.0000 0.7797 0.5000
Fe 0.0000 0.0000 0.0000
Bi 0.3333 0.6667 0.5000

Output
- Crystal system: hexagonal
- Calculated density: 8.99 g cm⁻³


*2*
This record from OQMD via LeMat-Bulk describes an optimized crystal structure of Dy3Zr3FeBi2. The functional is PBE-GGA.

abc: 8.1833 8.1833 3.7976
angles: 90.00 90.00 120.00
Space group P-62m (No. 189)
Unique sites:
Dy 0.0000 0.7579 0.0000
Zr 0.0000 0.3931 0.5000
Fe 0.0000 0.0000 0.5000
Bi 0.3333 0.6667 0.0000

Output
- Crystal system: hexagonal
- Calculated density: 9.31 g cm⁻³


Least stable = *2*


*1*
This record from OQMD via LeMat-Bulk describes an optimized crystal structure of Dy3Lu3Bi2Os. The functional is PBE-GGA.

abc: 8.1826 8.1826 4.2320
angles: 90.00 90.00 120.00
Space group P-62m (No. 189)
Unique sites:
Dy 0.0000 0.6145 0.0000
Lu 0.0000 0.2303 0.5000
Bi 0.3333 0.6667 0.5000
Os 0.0000 0.0000 0.0000

Output
- Crystal system: hexagonal
- Calculated density: 10.97 g cm⁻³


*2*
This record from OQMD via LeMat-Bulk describes an optimized crystal structure of Dy3Lu3Bi2Os. The functional is PBE-GGA.

abc: 8.2339 8.2339 4.2014
angles: 90.00 90.00 120.00
Space group P-62m (No. 189)
Unique sites:
Dy 0.0000 0.2373 0.0000
Lu 0.0000 0.6189 0.5000
Bi 0.3333 0.6667 0.0000
Os 0.0000 0.0000 0.5000

Output
- Crystal system: hexagonal
- Calculated density: 10.91 g cm⁻³


Least stable = *2*